Record 1
Compound: Pa2GaSi3Ir4
Source: Alexandria via LeMat-Bulk
Functional: PBE
Structure: relaxed

Structure (extended XYZ):
```
10
Lattice="4.0980 0.0000 0.0000 0.0000 4.0980 0.0000 0.0000 0.0000 10.1755" Properties=species:S:1:pos:R:3 pbc="T T T"
Pa 0.0000 2.0490 2.5407
Pa 2.0490 0.0000 7.6347
Ga 0.0000 0.0000 5.0877
Si 0.0000 2.0490 8.8576
Si 2.0490 0.0000 1.3179
Si 2.0490 2.0490 5.0877
Ir 0.0000 0.0000 0.0000
Ir 0.0000 2.0490 6.5083
Ir 2.0490 0.0000 3.6672
Ir 2.0490 2.0490 0.0000
```

Output
- M_tot (μB per cell) = 0.00
- raw total energy (eV/atom) = -8.3066
- D(E_F) (states/eV/cell) = 8.11
- volume (Å³/f.u.) = 170.9
- formation energy (no corrections) (meV per atom) = -933



Record 2
Compound: Pa2GaSi4Ir3
Source: Alexandria via LeMat-Bulk
Functional: PBE
Structure: relaxed

Structure (extended XYZ):
```
10
Lattice="4.1475 0.0000 0.0000 0.0000 4.1475 0.0000 0.0000 0.0000 9.9394" Properties=species:S:1:pos:R:3 pbc="T T T"
Pa 0.0000 2.0737 2.4481
Pa 2.0737 0.0000 7.4913
Ga 0.0000 0.0000 4.9697
Si 0.0000 0.0000 0.0000
Si 0.0000 2.0737 6.3452
Si 2.0737 0.0000 3.5942
Si 2.0737 2.0737 0.0000
Ir 0.0000 2.0737 8.6860
Ir 2.0737 0.0000 1.2534
Ir 2.0737 2.0737 4.9697
```

Output
- M_tot (μB per cell) = 0.00
- raw total energy (eV/atom) = -7.8436
- D(E_F) (states/eV/cell) = 6.16
- volume (Å³/f.u.) = 171.0
- formation energy (no corrections) (meV per atom) = -814



Record 3
Compound: SrPaGa2Ir2
Source: Alexandria via LeMat-Bulk
Functional: PBE
Structure: relaxed

Structure (extended XYZ):
```
6
Lattice="4.3854 0.0000 0.0000 -2.1927 3.7979 0.0000 0.0000 0.0000 7.9609" Properties=species:S:1:pos:R:3 pbc="T T T"
Sr 0.0000 0.0000 0.0000
Pa 0.0000 0.0000 3.9804
Ga 0.0000 2.5319 5.7839
Ga 2.1927 1.2660 2.1769
Ir 0.0000 2.5319 2.4627
Ir 2.1927 1.2660 5.4982
```

Output
- M_tot (μB per cell) = 0.00
- raw total energy (eV/atom) = -6.5035
- D(E_F) (states/eV/cell) = 3.64
- volume (Å³/f.u.) = 132.6
- formation enthalpy at 0 K (kJ/mol of formula units) = -392



Record 4
Compound: YPaGaIr
Source: Alexandria via LeMat-Bulk
Functional: PBE
Structure: relaxed

Structure (extended XYZ):
```
4
Lattice="0.0000 3.5162 3.5162 3.5162 0.0000 3.5162 3.5162 3.5162 0.0000" Properties=species:S:1:pos:R:3 pbc="T T T"
Y 0.0000 0.0000 0.0000
Pa 3.5162 3.5162 3.5162
Ga 1.7581 1.7581 1.7581
Ir 5.2743 5.2743 5.2743
```

Output
- M_tot (μB per cell) = 0.00
- raw total energy (eV/atom) = -7.4077
- D(E_F) (states/eV/cell) = 3.91
- volume (Å³/f.u.) = 86.9
- formation enthalpy at 0 K (kJ/mol of formula units) = -172



Record 5
Compound: PaZnGaIr
Source: Alexandria via LeMat-Bulk
Functional: PBE
Structure: relaxed

Structure (extended XYZ):
```
4
Lattice="0.0000 3.3291 3.3291 3.3291 0.0000 3.3291 3.3291 3.3291 0.0000" Properties=species:S:1:pos:R:3 pbc="T T T"
Pa 0.0000 0.0000 0.0000
Zn 4.9937 4.9937 4.9937
Ga 3.3291 3.3291 3.3291
Ir 1.6646 1.6646 1.6646
```

Output
- M_tot (μB per cell) = 0.00
- raw total energy (eV/atom) = -6.0316
- D(E_F) (states/eV/cell) = 4.04
- volume (Å³/f.u.) = 73.8
- formation enthalpy at 0 K (kJ/mol of formula units) = -142



Record 6
Compound: Ga2Ir2Pb
Source: Alexandria via LeMat-Bulk
Functional: PBE
Structure: relaxed

Structure (extended XYZ):
```
10
Lattice="7.7056 0.0000 0.0000 0.0000 7.7056 0.0000 0.0000 0.0000 2.9186" Properties=species:S:1:pos:R:3 pbc="T T T"
Ga 1.0284 2.8244 0.0000
Ga 2.8244 6.6772 0.0000
Ga 4.8812 1.0284 0.0000
Ga 6.6772 4.8812 0.0000
Ir 1.2028 5.0556 1.4593
Ir 2.6500 1.2028 1.4593
Ir 5.0556 6.5028 1.4593
Ir 6.5028 2.6500 1.4593
Pb 0.0000 0.0000 0.0000
Pb 3.8528 3.8528 0.0000
```

Output
- M_tot (μB per cell) = 0.00
- raw total energy (eV/atom) = -5.5666
- D(E_F) (states/eV/cell) = 5.59
- volume (Å³/f.u.) = 86.6
- formation enthalpy at 0 K (kJ/mol of formula units) = -34



Record 7
Compound: GaIr3Pb
Source: Alexandria via LeMat-Bulk
Functional: PBE
Structure: relaxed

Structure (extended XYZ):
```
5
Lattice="5.0006 0.0000 0.0000 0.0000 5.0006 0.0000 0.0000 0.0000 5.0006" Properties=species:S:1:pos:R:3 pbc="T T T"
Ga 0.0000 0.0000 0.0000
Ir 0.0000 2.5003 2.5003
Ir 2.5003 0.0000 2.5003
Ir 2.5003 2.5003 0.0000
Pb 2.5003 2.5003 2.5003
```

Output
- M_tot (μB per cell) = 0.00
- raw total energy (eV/atom) = -4.5285
- D(E_F) (states/eV/cell) = 9.21
- volume (Å³/f.u.) = 125.0
- formation enthalpy at 0 K (kJ/mol of formula units) = 1030



Record 8
Compound: GaIrPb2
Source: Alexandria via LeMat-Bulk
Functional: PBE
Structure: relaxed

Structure (extended XYZ):
```
8
Lattice="-3.1859 3.1859 6.3132 3.1859 -3.1859 6.3132 3.1859 3.1859 -6.3132" Properties=species:S:1:pos:R:3 pbc="T T T"
Ga 0.0000 0.0000 0.0000
Ga 0.0000 3.1859 3.1566
Ir 3.1859 0.0000 3.1566
Ir 0.0000 0.0000 6.3132
Pb 1.5930 -1.4082 4.7349
Pb 1.7777 1.5930 1.5783
Pb 1.5930 4.5941 -1.5783
Pb 1.4082 1.5930 7.8916
```

Output
- M_tot (μB per cell) = 0.00
- raw total energy (eV/atom) = -4.2298
- D(E_F) (states/eV/cell) = 5.58
- volume (Å³/f.u.) = 128.2
- formation enthalpy at 0 K (kJ/mol of formula units) = 230



Record 9
Compound: Ga2IrPb2
Source: Alexandria via LeMat-Bulk
Functional: PBE
Structure: relaxed

Structure (extended XYZ):
```
10
Lattice="6.6063 0.0000 0.0000 0.0000 6.6063 0.0000 0.0000 0.0000 5.1606" Properties=species:S:1:pos:R:3 pbc="T T T"
Ga 0.9776 2.3256 0.0000
Ga 2.3256 5.6288 0.0000
Ga 4.2808 0.9776 0.0000
Ga 5.6288 4.2808 0.0000
Ir 0.0000 0.0000 0.0000
Ir 3.3032 3.3032 0.0000
Pb 1.1963 4.4994 2.5803
Pb 2.1069 1.1963 2.5803
Pb 4.4994 5.4101 2.5803
Pb 5.4101 2.1069 2.5803
```

Output
- M_tot (μB per cell) = 0.00
- raw total energy (eV/atom) = -4.4037
- D(E_F) (states/eV/cell) = 6.26
- volume (Å³/f.u.) = 112.6
- formation enthalpy at 0 K (kJ/mol of formula units) = 30



Record 10
Compound: Ga2IrPb2
Source: Alexandria via LeMat-Bulk
Functional: PBE
Structure: relaxed

Structure (extended XYZ):
```
10
Lattice="7.1633 0.0000 0.0000 0.0000 7.1633 0.0000 0.0000 0.0000 4.8269" Properties=species:S:1:pos:R:3 pbc="T T T"
Ga 1.1207 2.4609 0.0000
Ga 2.4609 6.0426 0.0000
Ga 4.7024 1.1207 0.0000
Ga 6.0426 4.7024 0.0000
Ir 0.0000 0.0000 2.4134
Ir 3.5817 3.5817 2.4134
Pb 1.1410 4.7227 2.4134
Pb 2.4406 1.1410 2.4134
Pb 4.7227 6.0223 2.4134
Pb 6.0223 2.4406 2.4134
```

Output
- M_tot (μB per cell) = 0.00
- raw total energy (eV/atom) = -4.0371
- D(E_F) (states/eV/cell) = 5.45
- volume (Å³/f.u.) = 123.8
- formation enthalpy at 0 K (kJ/mol of formula units) = 207



Record 11
Compound: GaIrPb
Source: Alexandria via LeMat-Bulk
Functional: PBE
Structure: relaxed

Structure (extended XYZ):
```
6
Lattice="6.5557 -1.9868 0.0000 6.5557 1.9868 0.0000 -2.3490 0.0000 5.0703" Properties=species:S:1:pos:R:3 pbc="T T T"
Ga 0.0000 0.0000 0.0000
Ga -1.2193 0.0000 2.6829
Ir 5.8269 0.0000 1.2845
Ir 5.6561 0.0000 4.2914
Pb 3.3276 0.0000 0.1840
Pb 8.3188 0.0000 2.5317
```

Output
- M_tot (μB per cell) = 0.00
- raw total energy (eV/atom) = -5.2546
- D(E_F) (states/eV/cell) = 3.00
- volume (Å³/f.u.) = 66.0
- formation enthalpy at 0 K (kJ/mol of formula units) = -16



Record 12
Compound: GaIrPb
Source: Alexandria via LeMat-Bulk
Functional: PBE
Structure: relaxed

Structure (extended XYZ):
```
6
Lattice="5.8513 0.0000 0.0000 0.0000 3.6950 0.0000 -0.0068 0.0000 5.8650" Properties=species:S:1:pos:R:3 pbc="T T T"
Ga 0.0000 0.0000 0.0000
Ga 0.4287 0.0000 2.9321
Ir 1.1747 1.8475 1.4012
Ir 1.1694 1.8475 4.4659
Pb 3.0131 0.0000 0.0046
Pb 3.6635 1.8475 2.9382
```

Output
- M_tot (μB per cell) = 0.00
- raw total energy (eV/atom) = -5.2529
- D(E_F) (states/eV/cell) = 3.21
- volume (Å³/f.u.) = 63.4
- formation enthalpy at 0 K (kJ/mol of formula units) = -16